# 1
First-principles (GGA-PBEsol) data for a geometry-optimized CsNi2OsC structure, as listed in the Alexandria database.

a b c (Å): 4.7719 4.7719 3.9067
angles (deg): 90.00 90.00 90.00
Element x y z (fractional)
Cs1 0.0000 0.0000 0.0000
Ni1 0.0000 0.5000 0.5000
Ni2 0.5000 0.0000 0.5000
Os1 0.5000 0.5000 0.5000
C1 0.5000 0.5000 0.0000

Crystal system: tetragonal
E_form (eV per atom): 1.24



# 2
First-principles (GGA-PBEsol) data for a geometry-optimized CsSrNi2C structure, as listed in the Alexandria database.

a b c (Å): 4.6101 4.6101 6.4213
angles (deg): 90.00 90.00 90.00
Element x y z (fractional)
Cs1 0.0000 0.0000 0.0000
Sr1 0.0000 0.0000 0.5000
Ni1 0.0000 0.5000 0.0000
Ni2 0.5000 0.0000 0.0000
C1 0.5000 0.5000 0.5000

Crystal system: tetragonal
E_form (eV per atom): 2.54



# 3
First-principles (GGA-PBEsol) data for a geometry-optimized Cs2C2O structure, as listed in the Alexandria database.

a b c (Å): 7.8108 7.8108 4.1883
angles (deg): 90.00 90.00 90.00
Element x y z (fractional)
Cs1 0.2271 0.2729 0.0000
Cs2 0.2729 0.7729 0.0000
Cs3 0.7271 0.2271 0.0000
Cs4 0.7729 0.7271 0.0000
C1 0.0573 0.5573 0.5000
C2 0.4427 0.0573 0.5000
C3 0.5573 0.9427 0.5000
C4 0.9427 0.4427 0.5000
O1 0.0000 0.0000 0.5000
O2 0.5000 0.5000 0.5000

Crystal system: tetragonal
Calculated total energy (eV/atom): -4.614



# 4
First-principles (GGA-PBEsol) data for a geometry-optimized Cs2CO3 structure, as listed in the Alexandria database.

a b c (Å): 6.1210 10.3358 7.9723
angles (deg): 90.00 96.34 90.00
Element x y z (fractional)
Cs1 0.2405 0.2164 0.4803
Cs2 0.2405 0.2836 0.9803
Cs3 0.2578 0.5834 0.3254
Cs4 0.2578 0.9166 0.8254
Cs5 0.7422 0.0834 0.1746
Cs6 0.7422 0.4166 0.6746
Cs7 0.7595 0.7164 0.0197
Cs8 0.7595 0.7836 0.5197
C1 0.2512 0.5815 0.7341
C2 0.2512 0.9185 0.2341
C3 0.7488 0.0815 0.7659
C4 0.7488 0.4185 0.2659
O1 0.0851 0.6319 0.7989
O2 0.0851 0.8681 0.2989
O3 0.2428 0.0384 0.1823
O4 0.2428 0.4616 0.6823
O5 0.4259 0.6503 0.7171
O6 0.4259 0.8497 0.2171
O7 0.5741 0.1503 0.7829
O8 0.5741 0.3497 0.2829
O9 0.7572 0.5384 0.3177
O10 0.7572 0.9616 0.8177
O11 0.9149 0.1319 0.7011
O12 0.9149 0.3681 0.2011

Crystal system: monoclinic
Calculated total energy (eV/atom): -6.308



Number 1: DOS at the Fermi energy 1.583 states/eV per atom. Number 2: DOS at the Fermi energy 0.652 states/eV per atom. Number 3: DOS at the Fermi energy 0.873 states/eV per atom. Number 4: DOS at the Fermi energy 0.000 states/eV per atom.